{
  "formula": "Mg3ScO",
  "functional": "PBE",
  "state": "relaxed",
  "crystal_system": "cubic",
  "e_above_lowest_polymorph_mev_per_atom": 1923.7,
  "dos_at_fermi_per_ev_fu": 5.83,
  "lattice": [[5.8128, 0.0000, 0.0000], [0.0000, 5.8128, 0.0000], [0.0000, 0.0000, 5.8128]],
  "species": ["Mg", "O", "Mg", "Sc", "Mg"],
  "fractional_positions": [[0.5000, 0.0000, 0.0000], [0.5000, 0.5000, 0.5000], [0.0000, 0.5000, 0.0000], [0.0000, 0.0000, 0.0000], [0.0000, 0.0000, 0.5000]]
}